# LiPmCd, optimized geometry, DFT GGA-PBE
data_LiPmCd
_chemical_formula_sum 'Li1 Pm1 Cd1'
_cell_length_a 5.0507
_cell_length_b 5.0507
_cell_length_c 3.3188
_cell_angle_alpha 90.00
_cell_angle_beta 90.00
_cell_angle_gamma 120.00
_symmetry_space_group_name_H-M 'P -6 m 2'
_symmetry_Int_Tables_number 187
_symmetry_space_group_name_Hall 'P -6 2'
loop_
_atom_site_label
_atom_site_type_symbol
_atom_site_fract_x
_atom_site_fract_y
_atom_site_fract_z
Li1 Li 0.0000 0.0000 0.0000
Pm1 Pm 0.6667 0.3333 0.5000
Cd1 Cd 0.3333 0.6667 0.0000
# ΔE_f: -0.192 eV per atom
# DOS(E_F): 0.738 states/eV/atom
# Energy relative to the lowest polymorph listed for this composition: 0.0 kJ/mol of atoms